This record from Alexandria via LeMat-Bulk describes an optimized crystal structure of K2CaSb. The functional is GGA-PBE.

Properties
Final energy (eV/atom): -2.214
DOS(E_F) (states/eV per atom): 0.682
ΔE_f (raw) (eV/atom): -0.13

Lattice parameters (Å, degrees): 3.9376 5.7147 7.0300 90.00 90.00 90.00
With the nearest neighbours (Å) after each atom.
Space group Pmmm (No. 47)
Inequivalent atoms, fractional coordinates:
K 0.0000 0.0000 0.2189 [2 per cell]  1 K 3.08
Ca 0.5000 0.5000 0.5000 [1 per cell]  2 Sb 3.52
Sb 0.5000 0.5000 0.0000 [1 per cell]  2 Ca 3.52, 8 K 3.80

This record from Alexandria via LeMat-Bulk describes an optimized crystal structure of Ac4RhSe3. The functional is GGA-PBE.

Properties
Final energy (eV/atom): -5.836
DOS(E_F) (states/eV per atom): 0.785
ΔE_f (raw) (eV/atom): -1.56

Lattice parameters (Å, degrees): 9.1572 12.7162 4.3600 90.00 90.00 90.00
With the nearest neighbours (Å) after each atom.
Space group Cmmm (No. 65)
Inequivalent atoms, fractional coordinates:
Ac 0.0000 0.2436 0.0000 [4 per cell]  1 Rh 3.10, 5 Se 3.16-3.26
Ac 0.2286 0.0000 0.5000 [4 per cell]  2 Rh 3.02, 4 Se 3.19-3.31
Rh 0.0000 0.0000 0.0000 [2 per cell]  6 Ac 3.02-3.10
Se 0.0000 0.5000 0.0000 [2 per cell]  6 Ac 3.26-3.31
Se 0.2500 0.2500 0.5000 [4 per cell]  6 Ac 3.16-3.19

This record from Alexandria via LeMat-Bulk describes an optimized crystal structure of VSeS. The functional is GGA-PBE.

Properties
Offset from the most stable computed form (eV per atom): 0.5556
Final energy (eV/atom): -5.802
DOS(E_F) (states/eV per atom): 0.702
ΔE_f (raw) (eV/atom): -0.23

Lattice parameters (Å, degrees): 4.6699 10.8235 15.6476 90.00 90.00 90.00
With the nearest neighbours (Å) after each atom.
Space group Fddd (No. 70, origin choice 2)
Inequivalent atoms, fractional coordinates:
V 0.1250 0.1250 0.2542 [16 per cell]  2 S 2.42, 4 Se 2.48-2.58
Se 0.1250 0.2738 0.1250 [16 per cell]  4 V 2.48-2.58
S 0.1250 0.1250 0.5369 [16 per cell]  2 V 2.42

This record from Alexandria via LeMat-Bulk describes an optimized crystal structure of B2SbC. The functional is GGA-PBE.

Properties
Offset from the most stable computed form (eV per atom): 1.9387
Final energy (eV/atom): -4.091
DOS(E_F) (states/eV per atom): 0.455
ΔE_f (raw) (eV/atom): 2.58

Lattice parameters (Å, degrees): 5.7364 5.7364 5.7364 90.00 90.00 90.00
With the nearest neighbours (Å) after each atom.
Space group Fm-3m (No. 225)
Inequivalent atoms, fractional coordinates:
B 0.2500 0.2500 0.2500 [8 per cell]  4 Sb 2.48, 4 C 2.48
Sb 0.0000 0.0000 0.0000 [4 per cell]  8 B 2.48
C 0.0000 0.0000 0.5000 [4 per cell]  8 B 2.48

This record from Alexandria via LeMat-Bulk describes an optimized crystal structure of Nd3Zn2In3. The functional is GGA-PBE.

Properties
Energy of formation (meV/atom): -439.9
Final energy (eV/atom): -3.573
DOS(E_F) (states/eV per atom): 0.637

Lattice parameters (Å, degrees): 4.7186 11.2426 15.7001 90.00 90.00 90.00
With the nearest neighbours (Å) after each atom.
Space group Cmcm (No. 63)
Inequivalent atoms, fractional coordinates:
Nd 0.0000 0.0903 0.1093 [8 per cell]  4 Zn 3.28-3.58, 7 In 3.31-3.51
Nd 0.0000 0.3603 0.2500 [4 per cell]  5 In 3.29-3.32, 4 Zn 3.38
Zn 0.0000 0.2066 0.6032 [8 per cell]  4 In 2.74-2.97
In 0.0000 0.3472 0.7500 [4 per cell]  2 Zn 2.79
In 0.0000 0.3803 0.0393 [8 per cell]  3 Zn 2.74-2.97, 1 In 2.96

This record from Alexandria via LeMat-Bulk describes an optimized crystal structure of Ac3Mg2TaO9. The functional is GGA-PBE.

Properties
Final energy (eV/atom): -7.919
DOS(E_F) (states/eV per atom): 0.000
ΔE_f (raw) (eV/atom): -3.12

Lattice parameters (Å, degrees): 5.7273 5.7273 7.0555 90.00 90.00 120.00
With the nearest neighbours (Å) after each atom.
Space group P-3m1 (No. 164)
Inequivalent atoms, fractional coordinates:
Ac 0.0000 0.0000 0.0000 [1 per cell]  12 O 2.85-2.86
Ac 0.3333 0.6667 0.7120 [2 per cell]  9 O 2.62-2.88
Mg 0.3333 0.6667 0.1707 [2 per cell]  6 O 2.05
Ta 0.0000 0.0000 0.5000 [1 per cell]  6 O 1.99
O 0.0000 0.5000 0.0000 [3 per cell]  2 Mg 2.05
O 0.1618 0.3236 0.3334 [6 per cell]  1 Ta 1.99, 1 Mg 2.05

This record from Alexandria via LeMat-Bulk describes an optimized crystal structure of La3Cu2RhO9. The functional is GGA-PBE.

Properties
Final energy (eV/atom): -6.948
DOS(E_F) (states/eV per atom): 0.651
ΔE_f (raw) (eV/atom): -1.95

Lattice parameters (Å, degrees): 5.5359 5.5359 6.8366 90.00 90.00 120.00
With the nearest neighbours (Å) after each atom.
Space group P-3m1 (No. 164)
Inequivalent atoms, fractional coordinates:
La 0.0000 0.0000 0.0000 [1 per cell]  12 O 2.77
La 0.3333 0.6667 0.6719 [2 per cell]  12 O 2.75-2.83
Cu 0.3333 0.6667 0.1587 [2 per cell]  6 O 1.93-1.97
Rh 0.0000 0.0000 0.5000 [1 per cell]  6 O 1.98
O 0.0000 0.5000 0.0000 [3 per cell]  2 Cu 1.93
O 0.1677 0.3353 0.3302 [6 per cell]  1 Cu 1.97, 1 Rh 1.98

This record from Alexandria via LeMat-Bulk describes an optimized crystal structure of HfVReRh. The functional is GGA-PBE.

Properties
Energy of formation (meV/atom): -384.0
Final energy (eV/atom): -10.102
DOS(E_F) (states/eV per atom): 0.978

Lattice parameters (Å, degrees): 6.3138 6.3138 6.3138 90.00 90.00 90.00
With the nearest neighbours (Å) after each atom.
Space group F-43m (No. 216)
Inequivalent atoms, fractional coordinates:
Hf 0.0000 0.0000 0.0000 [4 per cell]  4 Re 2.73, 4 Rh 2.73
V 0.0000 0.0000 0.5000 [4 per cell]  4 Re 2.73, 4 Rh 2.73
Re 0.2500 0.2500 0.7500 [4 per cell]  4 Hf 2.73, 4 V 2.73
Rh 0.2500 0.2500 0.2500 [4 per cell]  4 Hf 2.73, 4 V 2.73

This record from Alexandria via LeMat-Bulk describes an optimized crystal structure of Li2Al3Pd3. The functional is GGA-PBE.

Properties
Energy of formation (meV/atom): -585.5
Final energy (eV/atom): -4.415
DOS(E_F) (states/eV per atom): 0.149

Lattice parameters (Å, degrees): 7.4730 7.4730 4.9703 90.00 90.00 120.00
With the nearest neighbours (Å) after each atom.
Space group P6_3/mcm (No. 193)
Inequivalent atoms, fractional coordinates:
Li 0.3333 0.6667 0.0000 [4 per cell]  2 Li 2.49, 6 Al 2.65
Al 0.0000 0.3770 0.2500 [6 per cell]  5 Pd 2.54-2.59, 4 Li 2.65
Pd 0.0000 0.2812 0.7500 [6 per cell]  5 Al 2.54-2.59

This record from Alexandria via LeMat-Bulk describes an optimized crystal structure of Tc2PbSe. The functional is GGA-PBE.

Properties
Offset from the most stable computed form (eV per atom): 0.4422
Final energy (eV/atom): -6.386
DOS(E_F) (states/eV per atom): 0.634
ΔE_f (raw) (eV/atom): 0.60

Lattice parameters (Å, degrees): 3.1998 3.9620 5.9060 90.00 99.17 90.00
With the nearest neighbours (Å) after each atom.
Space group P2/m (No. 10)
Inequivalent atoms, fractional coordinates:
Tc 0.1731 0.0000 0.2969 [2 per cell]  2 Se 2.43
Pb 0.5000 0.5000 0.0000 [1 per cell]  8 Tc 2.95-3.23, 2 Se 3.13, 2 Pb 3.20
Se 0.0000 0.5000 0.5000 [1 per cell]  4 Tc 2.43

This record from Alexandria via LeMat-Bulk describes an optimized crystal structure of Ni3MoC. The functional is GGA-PBE.

Properties
Energy of formation (meV/atom): 2637.6
Offset from the most stable computed form (eV per atom): 2.2119
Final energy (eV/atom): -4.842
DOS(E_F) (states/eV per atom): 1.105

Lattice parameters (Å, degrees): 4.4437 4.4437 4.4437 90.00 90.00 90.00
With the nearest neighbours (Å) after each atom.
Space group Pm-3m (No. 221)
Inequivalent atoms, fractional coordinates:
Ni 0.0000 0.0000 0.5000 [3 per cell]  2 Mo 2.22
Mo 0.0000 0.0000 0.0000 [1 per cell]  6 Ni 2.22
C 0.5000 0.5000 0.5000 [1 per cell]  12 Ni 3.14

This record from Alexandria via LeMat-Bulk describes an optimized crystal structure of PrSm2Sc. The functional is GGA-PBE.

Properties
Energy of formation (meV/atom): 49.2
Offset from the most stable computed form (eV per atom): 0.0098
Final energy (eV/atom): -5.088
DOS(E_F) (states/eV per atom): 1.590

Lattice parameters (Å, degrees): 3.6366 11.4717 6.1631 90.00 90.00 90.00
With the nearest neighbours (Å) after each atom.
Space group Imm2 (No. 44)
Inequivalent atoms, fractional coordinates:
Pr 0.0000 0.0000 0.0000 [2 per cell]  6 Sm 3.51-3.60, 4 Sc 3.55-3.61, 2 Pr 3.64
Sm 0.0000 0.2411 0.3503 [4 per cell]  3 Sc 3.45-3.65, 3 Pr 3.51-3.60, 6 Sm 3.58-3.64
Sc 0.0000 0.5000 0.0059 [2 per cell]  6 Sm 3.45-3.65, 4 Pr 3.55-3.61, 2 Sc 3.64

This record from Alexandria via LeMat-Bulk describes an optimized crystal structure of Mg2MoRu. The functional is GGA-PBE.

Properties
Energy of formation (meV/atom): 228.0
Offset from the most stable computed form (eV per atom): 0.2423
Final energy (eV/atom): -5.596
DOS(E_F) (states/eV per atom): 0.663

Lattice parameters (Å, degrees): 3.2201 4.3646 4.6209 90.00 90.00 90.00
With the nearest neighbours (Å) after each atom.
Space group Pmmm (No. 47)
Inequivalent atoms, fractional coordinates:
Mg 0.0000 0.0000 0.0000 [1 per cell]  4 Mg 2.71, 4 Ru 2.82
Mg 0.5000 0.5000 0.0000 [1 per cell]  4 Mg 2.71, 4 Mo 2.82
Mo 0.0000 0.5000 0.5000 [1 per cell]  4 Ru 2.71, 4 Mg 2.82
Ru 0.5000 0.0000 0.5000 [1 per cell]  4 Mo 2.71, 4 Mg 2.82

This record from Alexandria via LeMat-Bulk describes an optimized crystal structure of KZrW2. The functional is GGA-PBE.

Properties
Energy of formation (meV/atom): 1295.8
Offset from the most stable computed form (eV per atom): 0.6124
Final energy (eV/atom): -7.592
DOS(E_F) (states/eV per atom): 0.961

Lattice parameters (Å, degrees): 5.6314 10.5812 2.6953 90.00 90.00 90.00
With the nearest neighbours (Å) after each atom.
Space group Cmmm (No. 65)
Inequivalent atoms, fractional coordinates:
K 0.0000 0.0000 0.0000 [2 per cell]  2 K 2.70, 2 Zr 2.82
Zr 0.0000 0.5000 0.0000 [2 per cell]  2 Zr 2.70, 2 K 2.82
W 0.2500 0.2500 0.5000 [4 per cell]  4 W 2.70-2.82

This record from Alexandria via LeMat-Bulk describes an optimized crystal structure of SmThGaIr. The functional is GGA-PBE.

Properties
Energy of formation (meV/atom): -522.4
Offset from the most stable computed form (eV per atom): 0.2583
Final energy (eV/atom): -6.529
DOS(E_F) (states/eV per atom): 1.040

Lattice parameters (Å, degrees): 7.2312 7.2312 7.2312 90.00 90.00 90.00
With the nearest neighbours (Å) after each atom.
Space group F-43m (No. 216)
Inequivalent atoms, fractional coordinates:
Sm 0.0000 0.0000 0.0000 [4 per cell]  4 Ir 3.13, 4 Ga 3.13
Th 0.0000 0.0000 0.5000 [4 per cell]  4 Ir 3.13, 4 Ga 3.13
Ga 0.2500 0.2500 0.7500 [4 per cell]  4 Th 3.13, 4 Sm 3.13
Ir 0.2500 0.2500 0.2500 [4 per cell]  4 Th 3.13, 4 Sm 3.13

This record from Alexandria via LeMat-Bulk describes an optimized crystal structure of TaOs. The functional is GGA-PBE.

Properties
Energy of formation (meV/atom): 164.0
Final energy (eV/atom): -11.377
DOS(E_F) (states/eV per atom): 1.146

Lattice parameters (Å, degrees): 2.8196 2.8196 28.5249 90.00 90.00 120.00
With the nearest neighbours (Å) after each atom.
Space group R-3m (No. 166, hexagonal axes)
Inequivalent atoms, fractional coordinates:
Ta 0.0000 0.0000 0.1209 [6 per cell]  9 Ta 2.82-3.08, 3 Os 2.89
Os 0.0000 0.0000 0.3707 [6 per cell]  9 Os 2.68-2.82, 3 Ta 2.89

This record from Alexandria via LeMat-Bulk describes an optimized crystal structure of Nd4MgRh. The functional is GGA-PBE.

Properties
Energy of formation (meV/atom): -216.2
Offset from the most stable computed form (eV per atom): 0.1274
Final energy (eV/atom): -4.886
DOS(E_F) (states/eV per atom): 1.225

Lattice parameters (Å, degrees): 16.8970 7.5660 6.0946 90.00 111.01 90.00
With the nearest neighbours (Å) after each atom.
Space group C2/m (No. 12)
Inequivalent atoms, fractional coordinates:
Nd 0.0000 0.2056 0.0000 [4 per cell]  2 Rh 2.76
Nd 0.1197 0.2489 0.6190 [8 per cell]  2 Rh 3.03
Nd 0.1803 0.5000 0.1791 [4 per cell]  2 Rh 3.28, 2 Nd 3.61, 2 Mg 3.62-3.63
Mg 0.1954 0.0000 0.1961 [4 per cell]  12 Nd 3.45-3.79
Rh 0.0001 0.5000 0.2677 [4 per cell]  6 Nd 2.76-3.03, 1 Rh 2.83

This record from Alexandria via LeMat-Bulk describes an optimized crystal structure of CrRe2N. The functional is GGA-PBE.

Properties
Final energy (eV/atom): -9.967
DOS(E_F) (states/eV per atom): 0.716
ΔE_f (raw) (eV/atom): 0.74

Lattice parameters (Å, degrees): 4.9908 4.9908 9.7615 90.00 90.00 90.00
With the nearest neighbours (Å) after each atom.
Space group I-42d (No. 122)
Inequivalent atoms, fractional coordinates:
Cr 0.0000 0.0000 0.0000 [4 per cell]  4 Re 2.36
Re 0.1814 0.2500 0.6250 [8 per cell]  2 N 1.97
N 0.0000 0.0000 0.5000 [4 per cell]  4 Re 1.97

This record from Alexandria via LeMat-Bulk describes an optimized crystal structure of KGa2NiCl8. The functional is GGA-PBE.

Properties
Final energy (eV/atom): -3.394
DOS(E_F) (states/eV per atom): 0.551
ΔE_f (raw) (eV/atom): -1.09

Lattice parameters (Å, degrees): 6.4369 6.4369 9.0530 90.00 90.00 120.00
With the nearest neighbours (Å) after each atom.
Space group P-3 (No. 147)
Inequivalent atoms, fractional coordinates:
K 0.0000 0.0000 0.0000 [1 per cell]  12 Cl 3.62-3.72
Ga 0.3333 0.6667 0.7381 [2 per cell]  4 Cl 2.21-2.23
Ni 0.0000 0.0000 0.5000 [1 per cell]  6 Cl 2.50
Cl 0.0211 0.3198 0.6659 [6 per cell]  1 Ga 2.23
Cl 0.3333 0.6667 0.9823 [2 per cell]  1 Ga 2.21

This record from Alexandria via LeMat-Bulk describes an optimized crystal structure of HoTh2Te4. The functional is GGA-PBE.

Properties
Final energy (eV/atom): -5.693
DOS(E_F) (states/eV per atom): 0.717
ΔE_f (raw) (eV/atom): -1.12

Lattice parameters (Å, degrees): 4.1569 14.1462 15.8934 90.00 90.00 90.00
With the nearest neighbours (Å) after each atom.
Space group Cmcm (No. 63)
Inequivalent atoms, fractional coordinates:
Ho 0.0000 0.1053 0.2500 [4 per cell]  6 Te 3.09-3.10
Th 0.0000 0.3498 0.0624 [8 per cell]  6 Te 3.13-3.26
Te 0.0000 0.0000 0.0000 [4 per cell]  4 Th 3.13
Te 0.0000 0.2996 0.6332 [8 per cell]  2 Ho 3.09, 3 Th 3.17-3.19
Te 0.0000 0.4429 0.2500 [4 per cell]  2 Ho 3.10, 2 Th 3.26